(1)
LaScSi2, PBEsol geometry, DFT SCAN; E_form (uncorrected) = -0.6064 eV per atom
1.0
4.387 -1.913 0.000
4.387 1.913 0.000
-2.024 0.000 5.254
La Sc Si
1 1 2
Direct
0.000 0.000 0.000
0.500 0.500 0.500
0.237 0.237 0.642
0.763 0.763 0.358

***

(2)
La2ScSi2, PBEsol geometry, DFT SCAN; E_form (uncorrected) = -0.7349 eV per atom
1.0
7.375 0.000 0.000
0.000 7.375 0.000
0.000 0.000 4.494
La Sc Si
4 2 4
Direct
0.178 0.322 0.000
0.322 0.822 0.000
0.678 0.178 0.000
0.822 0.678 0.000
0.000 0.000 0.500
0.500 0.500 0.500
0.118 0.618 0.500
0.382 0.118 0.500
0.618 0.882 0.500
0.882 0.382 0.500